(1)
PaMn2RhO6: relaxed, GGA+U.

Calculated values
M_tot   19.9 Bohr magnetons per cell
Space group   P2_1/c, No. 14
Volume   123.6 Å³/f.u.
VASP energy   -163.450 eV per cell

Lattice parameters (Å, degrees): 5.510 5.607 8.003 90.00 89.84 90.00
Positions (direct):
Pa 0.500 0.000 0.000
Pa 0.000 0.500 0.500
Mn 0.999 0.961 0.249
Mn 0.499 0.539 0.749
Mn 0.001 0.039 0.751
Mn 0.501 0.461 0.251
Rh 0.500 0.000 0.500
Rh 0.000 0.500 0.000
O 0.317 0.674 0.067
O 0.817 0.826 0.567
O 0.683 0.326 0.933
O 0.183 0.174 0.433
O 0.331 0.685 0.434
O 0.831 0.815 0.934
O 0.669 0.315 0.566
O 0.169 0.185 0.066
O 0.872 0.584 0.240
O 0.372 0.916 0.740
O 0.128 0.416 0.760
O 0.628 0.084 0.260


(2)
PaMnRh2O8: relaxed, GGA+U.

Calculated values
M_tot   5.9 Bohr magnetons per cell
Space group   P-3m1, No. 164
Volume   192.5 Å³/f.u.
VASP energy   -85.543 eV per cell

Lattice parameters (Å, degrees): 5.959 5.959 6.260 90.00 90.00 120.00
Positions (direct):
Pa 0.000 0.000 0.000
Mn 0.000 0.000 0.500
Rh 0.667 0.333 0.799
Rh 0.333 0.667 0.201
O 0.851 0.703 0.743
O 0.297 0.148 0.743
O 0.852 0.149 0.743
O 0.149 0.297 0.257
O 0.703 0.852 0.257
O 0.148 0.851 0.257
O 0.667 0.333 0.087
O 0.333 0.667 0.913


(3)
PaMnRhO6: relaxed, GGA+U.

Calculated values
M_tot   6.0 Bohr magnetons per cell
Space group   P-31c, No. 163
Volume   106.3 Å³/f.u.
VASP energy   -141.849 eV per cell

Lattice parameters (Å, degrees): 5.328 5.328 8.647 90.00 90.00 120.00
Positions (direct):
Pa 0.333 0.667 0.250
Pa 0.667 0.333 0.750
Mn 0.667 0.333 0.250
Mn 0.333 0.667 0.750
Rh 0.000 0.000 0.000
Rh 0.000 0.000 0.500
O 0.681 0.654 0.126
O 0.973 0.319 0.126
O 0.319 0.973 0.626
O 0.027 0.681 0.874
O 0.346 0.319 0.374
O 0.973 0.654 0.374
O 0.654 0.973 0.874
O 0.681 0.027 0.374
O 0.027 0.346 0.626
O 0.346 0.027 0.126
O 0.654 0.681 0.626
O 0.319 0.346 0.874


(4)
PaMnRuO6: relaxed, GGA+U.

Calculated values
M_tot   4.0 Bohr magnetons per cell
Space group   P-31c, No. 163
Volume   111.8 Å³/f.u.
VASP energy   -147.711 eV per cell

Lattice parameters (Å, degrees): 5.373 5.373 8.943 90.00 90.00 120.00
Positions (direct):
Pa 0.333 0.667 0.250
Pa 0.667 0.333 0.750
Mn 0.667 0.333 0.250
Mn 0.333 0.667 0.750
Ru 0.000 0.000 0.000
Ru 0.000 0.000 0.500
O 0.690 0.688 0.123
O 0.998 0.310 0.123
O 0.310 0.998 0.623
O 0.002 0.690 0.877
O 0.312 0.310 0.377
O 0.998 0.688 0.377
O 0.688 0.998 0.877
O 0.690 0.002 0.377
O 0.002 0.312 0.623
O 0.312 0.002 0.123
O 0.688 0.690 0.623
O 0.310 0.312 0.877